The following is a DFT calculation (GGA-PBE) of a relaxed Sr5TmCd6 crystal.

As for the crystal system: monoclinic. The value obtained for the formation energy is -310 meV per atom. As for the space group: C2/m.

```
12
Lattice="0.1366 -2.2058 5.2135 6.8319 -3.6195 -1.7104 7.7754 3.8596 4.5604" Properties=species:S:1:pos:R:3 pbc="T T T"
Sr 6.3497 0.4002 6.1863
Sr 4.8804 -0.7094 2.6655
Sr 3.4160 -1.8097 -0.8552
Sr 9.8635 -1.2562 5.3980
Sr 8.3943 -2.3658 1.8772
Tm 0.0000 0.0000 0.0000
Cd 6.7368 -2.8567 4.7872
Cd 3.0706 -0.9144 5.7054
Cd 13.2092 -0.0861 5.8241
Cd 1.5347 -1.8795 2.2394
Cd 11.6733 -1.0512 2.3581
Cd 8.0071 0.8911 3.2763
```



The following is a DFT calculation (GGA-PBE) of a relaxed Sr2TmCd6 crystal.

As for the crystal system: hexagonal. The value obtained for the formation energy is -283 meV per atom. As for the space group: P6/mmm.

```
9
Lattice="3.6183 -0.0002 0.0009 0.0011 7.6605 4.4058 -0.0005 0.0161 8.8371" Properties=species:S:1:pos:R:3 pbc="T T T"
Sr 0.0003 2.5585 4.4138
Sr 3.6186 5.1178 8.8300
Tm 0.0000 0.0000 0.0000
Cd 1.8058 5.1525 2.9647
Cd 1.8141 7.6650 7.2989
Cd 1.8131 2.5238 10.2791
Cd 1.8097 5.1565 5.8577
Cd 1.8048 0.0113 5.9449
Cd 1.8092 2.5198 7.3861
```



The following is a DFT calculation (GGA-PBE) of a relaxed SrTm2Cd9 crystal.

As for the crystal system: trigonal. The value obtained for the formation energy is -221 meV per atom. As for the space group: R-3m.

```
12
Lattice="-2.1041 -5.6359 -0.1552 3.2362 -4.4863 2.3694 -3.8665 -2.0199 9.0983" Properties=species:S:1:pos:R:3 pbc="T T T"
Sr 0.0000 0.0000 0.0000
Tm -0.7321 -9.5273 5.8867
Tm -2.0023 -2.6148 5.4258
Cd 0.7242 -6.7384 1.5363
Cd -3.4586 -5.4037 9.7762
Cd -1.3672 -6.0711 5.6562
Cd -0.5440 -4.6597 3.2723
Cd -1.6265 -7.5594 3.1924
Cd 1.1211 -6.9680 4.4914
Cd -2.1904 -7.4824 8.0402
Cd -3.8555 -5.1742 6.8211
Cd -1.1079 -4.5827 8.1201
```



The following is a DFT calculation (GGA-PBE) of a relaxed Sr2Tm2Cd15 crystal.

As for the crystal system: trigonal. The value obtained for the formation energy is -170 meV per atom. As for the space group: R-3m.

```
19
Lattice="7.9912 0.2555 0.2276 1.2900 7.8905 0.2276 1.2900 1.1322 7.8122" Properties=species:S:1:pos:R:3 pbc="T T T"
Sr 3.5291 3.0974 2.7600
Sr 7.0421 6.1808 5.5074
Tm 1.0251 0.8997 0.8017
Tm 9.5461 8.3785 7.4657
Cd 3.9956 0.1277 0.1138
Cd 0.6450 0.5661 3.9061
Cd 0.6450 3.9453 0.1138
Cd 1.2900 5.9173 2.4421
Cd 6.0347 2.4847 0.2276
Cd 3.2466 0.8762 5.5977
Cd 3.2466 5.6613 0.2276
Cd 6.0347 0.5114 2.4421
Cd 1.2900 3.1054 5.5977
Cd 2.7988 5.7749 5.1458
Cd 6.0892 5.3444 1.4216
Cd 6.0892 2.0260 5.1458
Cd 7.7724 3.5033 3.1216
Cd 4.4820 3.9338 6.8458
Cd 4.4820 7.2522 3.1216
```